A:
# CaGaOs3 GGA-PBE relaxed
# **Crystal system**: cubic
data_CaGaOs3
_symmetry_space_group_name_H-M 'P m -3 m'
_symmetry_Int_Tables_number 221
_symmetry_space_group_name_Hall '-P 4 2 3'
_cell_length_a 4.621
_cell_length_b 4.621
_cell_length_c 4.621
_cell_angle_alpha 90.00
_cell_angle_beta 90.00
_cell_angle_gamma 90.00
loop_
_atom_site_label
_atom_site_fract_x
_atom_site_fract_y
_atom_site_fract_z
Ca1 0.000 0.000 0.000
Ga1 0.500 0.500 0.500
Os1 0.000 0.500 0.500

---

B:
# CaGaOs3 GGA-PBE relaxed
# **Crystal system**: cubic
data_CaGaOs3
_symmetry_space_group_name_H-M 'P m -3 m'
_symmetry_Int_Tables_number 221
_symmetry_space_group_name_Hall '-P 4 2 3'
_cell_length_a 4.722
_cell_length_b 4.722
_cell_length_c 4.722
_cell_angle_alpha 90.00
_cell_angle_beta 90.00
_cell_angle_gamma 90.00
loop_
_atom_site_label
_atom_site_fract_x
_atom_site_fract_y
_atom_site_fract_z
Ca1 0.000 0.000 0.000
Ga1 0.500 0.500 0.500
Os1 0.000 0.000 0.500

---

Most stable to least stable, the ends of the list are A and B.

---

A:
# Ca2GaOsPd GGA-PBE relaxed
# **Crystal system**: tetragonal
data_Ca2GaOsPd
_symmetry_space_group_name_H-M 'P 4/m m m'
_symmetry_Int_Tables_number 123
_symmetry_space_group_name_Hall '-P 4 2'
_cell_length_a 5.283
_cell_length_b 5.283
_cell_length_c 4.691
_cell_angle_alpha 90.00
_cell_angle_beta 90.00
_cell_angle_gamma 90.00
loop_
_atom_site_label
_atom_site_fract_x
_atom_site_fract_y
_atom_site_fract_z
Ca1 0.000 0.500 0.000
Ga1 0.000 0.000 0.500
Os1 0.500 0.500 0.500
Pd1 0.000 0.000 0.000

---

B:
# Ca2GaOsPd GGA-PBE relaxed
# **Crystal system**: tetragonal
data_Ca2GaOsPd
_symmetry_space_group_name_H-M 'P 4/m m m'
_symmetry_Int_Tables_number 123
_symmetry_space_group_name_Hall '-P 4 2'
_cell_length_a 5.414
_cell_length_b 5.414
_cell_length_c 4.555
_cell_angle_alpha 90.00
_cell_angle_beta 90.00
_cell_angle_gamma 90.00
loop_
_atom_site_label
_atom_site_fract_x
_atom_site_fract_y
_atom_site_fract_z
Ca1 0.000 0.500 0.000
Ga1 0.000 0.000 0.000
Os1 0.000 0.000 0.500
Pd1 0.500 0.500 0.500

---

Most stable to least stable, the ends of the list are B and A.

---

A:
# Ca2GaP2 GGA-PBE relaxed
# **Crystal system**: tetragonal
data_Ca2GaP2
_symmetry_space_group_name_H-M 'P 4/m b m'
_symmetry_Int_Tables_number 127
_symmetry_space_group_name_Hall '-P 4 2ab'
_cell_length_a 7.215
_cell_length_b 7.215
_cell_length_c 4.150
_cell_angle_alpha 90.00
_cell_angle_beta 90.00
_cell_angle_gamma 90.00
loop_
_atom_site_label
_atom_site_fract_x
_atom_site_fract_y
_atom_site_fract_z
Ca1 0.183 0.317 0.000
Ga1 0.000 0.000 0.500
P1 0.110 0.610 0.500

---

B:
# Ca2GaP2 GGA-PBE relaxed
# **Crystal system**: orthorhombic
data_Ca2GaP2
_symmetry_space_group_name_H-M 'C m c 21'
_symmetry_Int_Tables_number 36
_cell_length_a 4.456
_cell_length_b 15.267
_cell_length_c 6.783
_cell_angle_alpha 90.00
_cell_angle_beta 90.00
_cell_angle_gamma 90.00
loop_
_symmetry_equiv_pos_as_xyz
'x,y,z'
'-x,-y,z+1/2'
'-x,y,z'
'x,-y,z+1/2'
'x+1/2,y+1/2,z'
'-x+1/2,-y+1/2,z+1/2'
'-x+1/2,y+1/2,z'
'x+1/2,-y+1/2,z+1/2'
loop_
_atom_site_label
_atom_site_fract_x
_atom_site_fract_y
_atom_site_fract_z
Ca1 0.000 0.024 0.000
Ca2 0.000 0.210 0.318
Ga1 0.000 0.398 0.149
P1 0.000 0.161 0.725
P2 0.000 0.432 0.786

---

Most stable to least stable, the ends of the list are B and A.